Record 1
Compound: Ag2SbPb
Source: Alexandria via LeMat-Bulk
Functional: PBE
Structure: relaxed

Cell: 3.5216 3.5216 26.7519 Å, 90.00 90.00 120.00°
Space group R-3m (No. 166, hexagonal axes)
Symmetry-distinct sites (fractional):
Ag1 0.0000 0.0000 0.2458 [6 per cell]
Sb1 0.0000 0.0000 0.5000 [3 per cell]
Pb1 0.0000 0.0000 0.0000 [3 per cell]

Output
DOS(E_F) = 5.264 states/eV/cell
V = 287 Å³ per cell
magnetic moment = 0.000 μB per formula unit
formation energy from raw total energies = 0.134 eV/atom


Record 2
Compound: CaInBr2
Source: Alexandria via LeMat-Bulk
Functional: PBE
Structure: relaxed

Cell: 4.2750 5.6026 12.0460 Å, 90.00 90.00 90.00°
Space group Immm (No. 71)
Symmetry-distinct sites (fractional):
Ca1 0.0000 0.0000 0.0000 [2 per cell]
In1 0.0000 0.0000 0.5000 [2 per cell]
Br1 0.0000 0.5000 0.3403 [4 per cell]

Output
DOS(E_F) = 1.312 states/eV/cell
V = 289 Å³ per cell
magnetic moment = 0.000 μB per formula unit
formation energy from raw total energies = -1.117 eV/atom


Record 3
Compound: LaBeCoP2
Source: Alexandria via LeMat-Bulk
Functional: PBE
Structure: relaxed

Cell: 3.7506 3.7506 11.1735 Å, 90.00 90.00 90.00°
Space group I-4m2 (No. 119)
Symmetry-distinct sites (fractional):
La1 0.0000 0.0000 0.0000 [2 per cell]
Be1 0.0000 0.5000 0.7500 [2 per cell]
Co1 0.0000 0.5000 0.2500 [2 per cell]
P1 0.0000 0.0000 0.3567 [4 per cell]

Output
DOS(E_F) = 5.601 states/eV/cell
V = 157 Å³ per cell
magnetic moment = 0.000 μB per formula unit
formation energy from the elements = -0.878 eV/atom